## Tb2PmEr (PBE)

Data for crystalline Tb2PmEr at its relaxed geometry.

Size of the total moment   0.01 μB/atom
Energy   -71.95 eV for the cell shown
Volume   32.56 Å³ per atom
Calculated formation energy   0.146 eV per atom

```
data_Tb2PmEr
_chemical_formula_sum 'Tb8 Pm4 Er4'
_symmetry_space_group_name_H-M 'F m -3 m'
_symmetry_Int_Tables_number 225
_symmetry_space_group_name_Hall '-F 4 2 3'
_cell_length_a 8.046
_cell_length_b 8.046
_cell_length_c 8.046
_cell_angle_alpha 90.00
_cell_angle_beta 90.00
_cell_angle_gamma 90.00
loop_
_atom_site_label
_atom_site_fract_x
_atom_site_fract_y
_atom_site_fract_z
Tb1 0.250 0.250 0.250
Pm1 0.000 0.000 0.000
Er1 0.000 0.000 0.500
```